# 1
The following is a DFT calculation (PBE) of a relaxed Ca2TaAl crystal.

## Properties
Space group: F-43m, No. 216
Energy in eV/cell: -17.5
Crystal system: cubic
Energy relative to the elements in meV per atom: 523

POSCAR file:
```
Ca2TaAl
1.0
5.117 0.000 0.000
2.559 4.432 0.000
2.559 1.477 4.178
Ca Al Ta
2 1 1
Direct
0.000 0.000 0.000
0.250 0.250 0.250
0.500 0.500 0.500
0.750 0.750 0.750
```

***

# 2
The following is a DFT calculation (PBE) of a relaxed CaTaAl crystal.

## Properties
Space group: I4mm, No. 107
Energy in eV/cell: -17.1
ΔE to the lowest computed polymorph in meV per atom: 0.0
Crystal system: tetragonal
Energy relative to the elements in meV per atom: 158

POSCAR file:
```
CaTaAl
1.0
7.550 -0.007 0.007
6.979 2.881 0.008
0.571 0.112 2.886
Ca Al Ta
1 1 1
Direct
0.340 0.340 0.660
0.012 0.012 0.988
0.649 0.649 0.351
```

***

# 3
The following is a DFT calculation (PBE) of a relaxed CaTaAl2 crystal.

## Properties
Space group: R-3m, No. 166
Energy in eV/cell: -20.9
ΔE to the lowest computed polymorph in meV per atom: 239.9
Crystal system: trigonal
Energy relative to the elements in meV per atom: 99

POSCAR file:
```
CaTaAl2
1.0
-4.812 0.913 -8.561
-6.765 -1.040 -7.101
-7.002 2.040 -6.639
Ca Al Ta
1 2 1
Direct
0.250 0.250 0.250
0.008 0.008 0.008
0.492 0.492 0.492
0.750 0.750 0.750
```

***

# 4
The following is a DFT calculation (PBE) of a relaxed CaTaAl3 crystal.

## Properties
Space group: Pm-3m, No. 221
Energy in eV/cell: -15.7
ΔE to the lowest computed polymorph in meV per atom: 1580.4
Crystal system: cubic
Energy relative to the elements in meV per atom: 1872

POSCAR file:
```
CaTaAl3
1.0
-2.154 -1.394 -4.228
-3.723 -2.012 2.559
-2.441 4.297 -0.173
Ca Al Ta
1 3 1
Direct
0.000 0.000 0.000
0.000 0.500 0.000
0.000 0.000 0.500
0.500 0.000 0.000
0.500 0.500 0.500
```

***

# 5
The following is a DFT calculation (PBE) of a relaxed Ca2TaAl crystal.

## Properties
Space group: C2/m, No. 12
Energy in eV/cell: -17.7
Crystal system: monoclinic
Energy relative to the elements in meV per atom: 475

POSCAR file:
```
Ca2TaAl
1.0
-4.536 -0.880 -4.962
5.788 -0.039 -1.578
-0.302 -2.840 -1.073
Ca Al Ta
2 1 1
Direct
0.000 0.000 0.000
0.500 0.000 0.500
0.500 0.500 0.000
0.000 0.500 0.500
```

***

# 6
The following is a DFT calculation (PBE) of a relaxed CaTaAl2 crystal.

## Properties
Space group: I-4m2, No. 119
Energy in eV/cell: -20.4
ΔE to the lowest computed polymorph in meV per atom: 376.5
Crystal system: tetragonal
Energy relative to the elements in meV per atom: 236

POSCAR file:
```
CaTaAl2
1.0
-1.170 -5.433 0.215
4.060 -3.520 -1.435
-0.543 4.391 3.369
Ca Al Ta
1 2 1
Direct
0.500 0.500 0.000
0.000 0.000 0.000
0.250 0.750 0.500
0.750 0.250 0.500
```

***

# 7
The following is a DFT calculation (PBE) of a relaxed Ca2TaAl crystal.

## Properties
Space group: I-42d, No. 122
Energy in eV/cell: -32.5
Crystal system: tetragonal
Energy relative to the elements in meV per atom: 841

POSCAR file:
```
Ca2TaAl
1.0
-7.325 2.656 3.024
-0.259 -6.577 5.150
-2.380 -0.407 6.142
Ca Al Ta
4 2 2
Direct
0.607 0.125 0.250
0.143 0.625 0.250
0.375 0.393 0.750
0.875 0.857 0.750
0.500 0.500 0.000
0.250 0.750 0.500
0.000 0.000 0.000
0.750 0.250 0.500
```

***

# 8
The following is a DFT calculation (PBE) of a relaxed CaTaAl2 crystal.

## Properties
Space group: P4/mmm, No. 123
Energy in eV/cell: -21.9
ΔE to the lowest computed polymorph in meV per atom: 0.0
Crystal system: tetragonal
Energy relative to the elements in meV per atom: -140

POSCAR file:
```
CaTaAl2
1.0
-2.297 0.148 -1.852
-1.845 -0.528 2.246
-0.665 8.845 1.532
Ca Al Ta
1 2 1
Direct
0.500 0.500 0.250
0.000 0.000 0.975
0.000 0.000 0.525
0.500 0.500 0.750
```